1.
Material: Ag2OsPt
Method: DFT, GGA-PBE
State: relaxed

Output
The space group is P4/mmm. The value obtained for the final energy is -5.21 eV/atom. The magnetization is 0.543 μB per cell.

Lattice parameters (Å, degrees): 2.7137 2.7137 8.8295 90.00 90.00 90.00
Sites, in units of the cell vectors:
Ag: 0.0000 0.0000 0.2502
Ag: 0.0000 0.0000 0.7498
Os: 0.5000 0.5000 0.0000
Pt: 0.5000 0.5000 0.5000

***

2.
Material: Cd6InAg5
Method: DFT, GGA-PBE
State: relaxed

Output
The space group is C2/m. The value obtained for the final energy is -1.89 eV/atom. The magnetization is 0.000 μB per cell.

Lattice parameters (Å, degrees): 7.0986 7.0986 8.0097 90.38 90.38 143.34
Sites, in units of the cell vectors:
Cd: 0.0021 0.0021 0.2380
Cd: 0.3270 0.6674 0.7548
Cd: 0.3326 0.6730 0.2452
Cd: 0.6674 0.3270 0.7548
Cd: 0.6730 0.3326 0.2452
Cd: 0.9979 0.9979 0.7620
In: 0.5000 0.5000 0.5000
Ag: 0.1654 0.8346 0.0000
Ag: 0.1679 0.8321 0.5000
Ag: 0.5000 0.5000 0.0000
Ag: 0.8321 0.1679 0.5000
Ag: 0.8346 0.1654 0.0000

***

3.
Material: TaBe2Ir
Method: DFT, GGA-PBE
State: relaxed

Output
The space group is Cmmm. The value obtained for the final energy is -7.18 eV/atom. The magnetization is 0.000 μB per cell.

Lattice parameters (Å, degrees): 4.0665 4.0665 2.9921 90.00 90.00 95.84
Sites, in units of the cell vectors:
Ta: 0.0000 0.0000 0.0000
Be: 0.0000 0.5000 0.5000
Be: 0.5000 0.0000 0.5000
Ir: 0.5000 0.5000 0.0000

***

4.
Material: Pm12Tm7Sc
Method: DFT, GGA-PBE
State: relaxed

Output
The space group is R-3. The value obtained for the final energy is -4.57 eV/atom. The magnetization is 0.001 μB per cell.

Lattice parameters (Å, degrees): 9.3219 9.3219 9.3219 107.88 107.88 107.88
Sites, in units of the cell vectors:
Pm: 0.0957 0.4430 0.2041
Pm: 0.1180 0.2827 0.8232
Pm: 0.1768 0.8820 0.7173
Pm: 0.2041 0.0957 0.4430
Pm: 0.2827 0.8232 0.1180
Pm: 0.4430 0.2041 0.0957
Pm: 0.5570 0.7959 0.9043
Pm: 0.7173 0.1768 0.8820
Pm: 0.7959 0.9043 0.5570
Pm: 0.8232 0.1180 0.2827
Pm: 0.8820 0.7173 0.1768
Pm: 0.9043 0.5570 0.7959
Tm: 0.0000 0.0000 0.0000
Tm: 0.1857 0.4944 0.6007
Tm: 0.3993 0.8143 0.5056
Tm: 0.4944 0.6007 0.1857
Tm: 0.5056 0.3993 0.8143
Tm: 0.6007 0.1857 0.4944
Tm: 0.8143 0.5056 0.3993
Sc: 0.5000 0.5000 0.5000

***

5.
Material: Ce2RhAu
Method: DFT, GGA-PBE
State: relaxed

Output
The space group is P2_1/c. The value obtained for the final energy is -6.29 eV/atom. The magnetization is 4.946 μB per cell.

Lattice parameters (Å, degrees): 7.2048 5.6866 11.6520 90.00 127.80 90.00
Sites, in units of the cell vectors:
Ce: 0.1777 0.1508 0.3509
Ce: 0.1777 0.3492 0.8509
Ce: 0.2691 0.6728 0.5991
Ce: 0.2691 0.8272 0.0991
Ce: 0.7309 0.1728 0.9009
Ce: 0.7309 0.3272 0.4009
Ce: 0.8223 0.6508 0.1491
Ce: 0.8223 0.8492 0.6491
Rh: 0.2073 0.1851 0.6181
Rh: 0.2073 0.3149 0.1181
Rh: 0.7927 0.6851 0.8819
Rh: 0.7927 0.8149 0.3819
Au: 0.3643 0.6586 0.3725
Au: 0.3643 0.8414 0.8725
Au: 0.6357 0.1586 0.1275
Au: 0.6357 0.3414 0.6275

***

6.
Material: CsNaAu2
Method: DFT, GGA-PBE
State: relaxed

Output
The space group is Pnma. The value obtained for the final energy is -2.48 eV/atom. The magnetization is 0.000 μB per cell.

Lattice parameters (Å, degrees): 8.9730 4.8682 12.2552 90.00 90.00 90.00
Sites, in units of the cell vectors:
Cs: 0.1319 0.2500 0.1251
Cs: 0.3681 0.7500 0.6251
Cs: 0.6319 0.2500 0.3749
Cs: 0.8681 0.7500 0.8749
Na: 0.0027 0.7500 0.3914
Na: 0.4973 0.2500 0.8914
Na: 0.5027 0.7500 0.1086
Na: 0.9973 0.2500 0.6086
Au: 0.1748 0.2500 0.8182
Au: 0.2077 0.2500 0.4151
Au: 0.2923 0.7500 0.9151
Au: 0.3252 0.7500 0.3182
Au: 0.6748 0.2500 0.6818
Au: 0.7077 0.2500 0.0849
Au: 0.7923 0.7500 0.5849
Au: 0.8252 0.7500 0.1818

***

no.,calculated formation energy (meV/atom)
1,535
2,-19
3,-134
4,159
5,-669
6,-299